Record 1
Density functional theory data (GGA-PBE) for HfCrCo after structural relaxation.

a = 4.691 Å, b = 5.069 Å, c = 7.149 Å
α = 90.00°, β = 90.00°, γ = 90.00°
Space group Imma (No. 74)
One atom of each set of equivalent atoms:
1 Hf 0.000 0.250 0.120 x4
2 Cr 0.250 0.250 0.750 x4
3 Co 0.000 0.000 0.500 x4



Record 2
Density functional theory data (GGA-PBE) for ErWC after structural relaxation.

a = 3.2038 Å, b = 3.2038 Å, c = 10.6702 Å
α = 90.00°, β = 90.00°, γ = 120.00°
Space group P6_3mc (No. 186)
One atom of each set of equivalent atoms:
1 Er 0.3333 0.6667 0.0000 x2
2 W 0.0000 0.0000 0.2540 x2
3 C 0.3333 0.6667 0.3531 x2



The evaluated energy of formation from the pure elements for the records listed, in turn: -0.23 -0.02 eV/atom.
The evaluated raw total energy for the records listed, in turn: -9.120 -8.932 eV per atom.